# PBE NdIO4, optimized geometry
data_NdIO4
_symmetry_space_group_name_H-M 'I 41 m d'
_symmetry_Int_Tables_number 109
_symmetry_space_group_name_Hall 'I 4bw -2'
_cell_length_a 7.308
_cell_length_b 7.308
_cell_length_c 7.138
_cell_angle_alpha 90.00
_cell_angle_beta 90.00
_cell_angle_gamma 90.00
loop_
_atom_site_label
_atom_site_fract_x
_atom_site_fract_y
_atom_site_fract_z
Nd1 0.000 0.000 0.000
I1 0.000 0.000 0.507
O1 0.000 0.283 0.488
O2 0.000 0.320 0.953
# * crystal system: tetragonal
# * calculated density: 5.8 g cm⁻³
# * formation energy without anion corrections: -1569.5 meV per atom
# * total magnetization: 0.00 Bohr magnetons per cell